No. 1
Computed, not measured: an optimized crystal structure of BaSr2Tl2 at the GGA-PBEsol level of DFT.

Geometry as POSCAR:
```
BaSr2Tl2
1.0
4.3710 0.0000 0.0000
0.0000 9.2957 0.0000
0.0000 0.0000 9.2957
Ba Tl Sr
2 4 4
direct
0.0000 0.0000 0.0000 Ba
0.0000 0.5000 0.5000 Ba
0.0000 0.6279 0.1279 Tl
0.0000 0.8721 0.6279 Tl
0.0000 0.3721 0.8721 Tl
0.0000 0.1279 0.3721 Tl
0.5000 0.8365 0.3365 Sr
0.5000 0.1635 0.6635 Sr
0.5000 0.6635 0.8365 Sr
0.5000 0.3365 0.1635 Sr
```

Summary:
E_tot	-2.570	eV/atom
energy of formation from the pure elements	-0.35	eV/atom
DOS(E_F)	9.615	states/eV/cell


No. 2
Computed, not measured: an optimized crystal structure of BaSr2Tl at the GGA-PBEsol level of DFT.

Geometry as POSCAR:
```
BaSr2Tl
1.0
-1.1749 -2.9184 -2.7382
5.9104 -1.4012 -1.0427
-2.5732 -2.3463 6.7814
Ba Tl Sr
1 1 2
direct
0.2030 0.7030 0.4060 Ba
0.4945 0.4945 0.9891 Tl
0.0027 0.0027 0.0053 Sr
0.7998 0.2998 0.5996 Sr
```

Summary:
E_tot	-2.310	eV/atom
energy of formation from the pure elements	-0.19	eV/atom
DOS(E_F)	4.083	states/eV/cell


No. 3
Computed, not measured: an optimized crystal structure of BaSrW at the GGA-PBEsol level of DFT.

Geometry as POSCAR:
```
BaSrW
1.0
3.1445 0.0000 0.0000
0.0000 5.4715 0.0000
0.0000 -2.7358 4.7385
Ba Sr W
1 1 1
direct
0.5000 0.0000 0.0000 Ba
0.0000 0.3333 0.6667 Sr
0.5000 0.6667 0.3333 W
```

Summary:
E_tot	-4.547	eV/atom
energy of formation from the pure elements	1.39	eV/atom
DOS(E_F)	4.622	states/eV/cell


No. 4
Computed, not measured: an optimized crystal structure of Ba2SrW at the GGA-PBEsol level of DFT.

Geometry as POSCAR:
```
Ba2SrW
1.0
-3.0623 1.4738 1.5624
-2.7705 -2.2327 1.1534
3.2528 -1.0509 11.8442
Ba W Sr
2 1 1
direct
0.2321 0.2321 0.3037 Ba
0.7679 0.7679 0.6963 Ba
0.5000 0.5000 0.5000 W
0.0000 0.0000 0.0000 Sr
```

Summary:
E_tot	-3.827	eV/atom
energy of formation from the pure elements	1.16	eV/atom
DOS(E_F)	4.576	states/eV/cell


No. 5
Computed, not measured: an optimized crystal structure of Ba2SrW at the GGA-PBEsol level of DFT.

Geometry as POSCAR:
```
Ba2SrW
1.0
3.8427 0.0000 0.0000
0.0000 3.8427 0.0000
0.0000 0.0000 10.3727
Sr Ba W
1 2 1
direct
0.0000 0.0000 0.5696 Sr
0.5000 0.5000 0.2484 Ba
0.0000 0.0000 0.9330 Ba
0.5000 0.5000 0.7490 W
```

Summary:
E_tot	-3.931	eV/atom
energy of formation from the pure elements	1.06	eV/atom
DOS(E_F)	4.090	states/eV/cell


No. 6
Computed, not measured: an optimized crystal structure of Ba2SrW at the GGA-PBEsol level of DFT.

Geometry as POSCAR:
```
Ba2SrW
1.0
3.4210 0.0000 0.0000
0.0000 5.8289 0.0000
-1.7105 -2.9145 7.7503
W Ba Sr
1 2 1
direct
0.0000 0.5000 0.0000 W
0.6697 0.6697 0.3395 Ba
0.3303 0.3303 0.6605 Ba
0.5000 0.0000 0.0000 Sr
```

Summary:
E_tot	-3.913	eV/atom
energy of formation from the pure elements	1.07	eV/atom
DOS(E_F)	6.409	states/eV/cell